(1)
Density functional theory data (GGA-PBE) for an optimized crystal structure of Tb4DyIn5.

a = 3.760 Å, b = 3.760 Å, c = 18.979 Å
α = 90.00°, β = 90.00°, γ = 90.00°
Sites, in units of the cell vectors:
Tb 0.000 0.000 0.600
Tb 0.000 0.000 0.400
Tb 0.000 0.000 0.199
Tb 0.000 0.000 0.801
In 0.500 0.500 0.701
In 0.500 0.500 0.901
In 0.500 0.500 0.299
In 0.500 0.500 0.500
In 0.500 0.500 0.099
Dy 0.000 0.000 0.000

Values from the calculation:
Space group: P4/mmm, No. 123

(2)
Density functional theory data (GGA-PBE) for an optimized crystal structure of TbDy3In4.

a = 5.331 Å, b = 7.484 Å, c = 10.658 Å
α = 90.00°, β = 90.00°, γ = 90.00°
Sites, in units of the cell vectors:
Tb 0.000 0.500 0.500
Tb 0.000 0.500 0.000
In 0.500 0.751 0.500
In 0.500 0.249 0.000
In 0.000 0.249 0.750
In 0.000 0.751 0.250
In 0.000 0.751 0.750
In 0.000 0.249 0.250
In 0.500 0.249 0.500
In 0.500 0.751 0.000
Dy 0.500 0.000 0.750
Dy 0.500 0.500 0.750
Dy 0.500 0.000 0.250
Dy 0.000 0.000 0.000
Dy 0.500 0.500 0.250
Dy 0.000 0.000 0.500

Values from the calculation:
Energy relative to the lowest polymorph listed for this composition: 0 meV per atom
Space group: P4/mmm, No. 123

no.,energy (eV/atom),formation energy from the elements (eV per atom)
1,-4.155,-0.47
2,-4.143,-0.47